VASP calculation (GGA+U) on a relaxed structure of HfVO2.

Cell: 4.8241 4.8241 5.9781 Å, 66.20 66.20 90.00°
Site moments in Bohr magnetons follow the coordinates.
Element x y z (fractional)
Hf 0.0000 0.0000 0.0000  -0.01
Hf 0.7500 0.2500 0.5000  -0.01
O 0.6412 0.1250 0.2500  0.05
O 0.1088 0.6250 0.2500  0.05
O 0.3750 0.3588 0.7500  0.05
O 0.8750 0.8912 0.7500  0.05
V 0.2500 0.7500 0.5000  2.37
V 0.5000 0.5000 0.0000  2.37

Summary:
Crystal system   tetragonal
DOS(E_F)   1.90 states/eV/f.u.
Uncorrected energy   -8.6131 eV/atom